[1]
A plane-wave DFT calculation with PBE-GGA was carried out for crystalline Ni2AsRu at its relaxed geometry.

Cell lengths 7.9286, 7.9286, 7.9286 Å; angles 20.38, 20.38, 20.38 degrees
With the nearest neighbours (Å) after each atom.
Fractional coordinates of all 4 atoms:
Ru 0.4981 0.4981 0.4981  3 As 2.54, 3 Ni 2.60, 6 Ru 2.81
Ni 0.2522 0.2522 0.2522  9 Ni 2.53-2.81, 3 Ru 2.60
Ni 0.0022 0.0022 0.0022  3 As 2.45, 3 Ni 2.53
As 0.7475 0.7475 0.7475  3 Ni 2.45, 3 Ru 2.54

Values from the calculation:
E, eV/atom: -6.19
Spin magnetization, μB per formula unit: 0.91
Space group: R3m (160)
E_form, eV/atom: 0.180



[2]
A plane-wave DFT calculation with PBE-GGA was carried out for crystalline Ni2AsRu at its relaxed geometry.

Cell lengths 3.8953, 2.7706, 4.9870 Å; angles 73.94, 90.00, 90.00 degrees
With the nearest neighbours (Å) after each atom.
Fractional coordinates of all 4 atoms:
Ni 0.0000 0.8820 0.9929  2 As 2.37, 1 Ni 2.46
Ni 0.0000 0.6180 0.5071  2 As 2.37, 1 Ni 2.46
As 0.5000 0.7500 0.7500  4 Ni 2.37, 2 Ru 2.50
Ru 0.5000 0.2500 0.2500  2 As 2.50, 8 Ni 2.68-2.69, 2 Ru 2.77

Values from the calculation:
E, eV/atom: -6.30
Spin magnetization, μB per formula unit: 0.26
Space group: P2/m (10)
E_form, eV/atom: 0.070



[3]
A plane-wave DFT calculation with PBE-GGA was carried out for crystalline Ni2AsRu at its relaxed geometry.

Cell lengths 4.4610, 4.4610, 2.8090 Å; angles 90.00, 90.00, 113.06 degrees
With the nearest neighbours (Å) after each atom.
Fractional coordinates of all 4 atoms:
Ni 0.5000 0.5000 0.0000  2 Ni 2.46, 4 Ru 2.64, 4 As 2.64
Ni 0.0000 0.0000 0.0000  2 Ni 2.46, 4 As 2.64, 4 Ru 2.64
As 0.0000 0.5000 0.5000  2 Ru 2.46, 8 Ni 2.64
Ru 0.5000 0.0000 0.5000  2 As 2.46, 8 Ni 2.64

Values from the calculation:
E, eV/atom: -6.34
Spin magnetization, μB per formula unit: 0.00
Space group: Cmmm (65)
E_form, eV/atom: 0.034



[4]
A plane-wave DFT calculation with PBE-GGA was carried out for crystalline Ni2AsRu at its relaxed geometry.

Cell lengths 4.3219, 4.3219, 4.3219 Å; angles 126.76, 126.76, 78.63 degrees
With the nearest neighbours (Å) after each atom.
Fractional coordinates of all 4 atoms:
As 0.7500 0.2500 0.5000  8 Ni 2.56-2.74, 4 Ru 2.56
Ni 0.0000 0.0000 0.0000  4 As 2.56, 4 Ni 2.56, 4 Ru 2.74
Ni 0.2500 0.7500 0.5000  4 Ni 2.56, 4 Ru 2.56, 4 As 2.74
Ru 0.5000 0.5000 0.0000  8 Ni 2.56-2.74, 4 As 2.56

Values from the calculation:
E, eV/atom: -6.40
Spin magnetization, μB per formula unit: 0.00
Space group: I-4m2 (119)
E_form, eV/atom: -0.026



[5]
A plane-wave DFT calculation with PBE-GGA was carried out for crystalline Ni2As2Ru at its relaxed geometry.

Cell lengths 6.5810, 6.5810, 3.1581 Å; angles 90.00, 90.00, 90.00 degrees
With the nearest neighbours (Å) after each atom.
Fractional coordinates of all 10 atoms:
Ru 0.5000 0.5000 0.0000  4 As 2.48
Ru 0.0000 0.0000 0.0000  4 As 2.48
Ni 0.8639 0.3639 0.5000  6 As 2.48-2.50, 1 Ni 2.53
Ni 0.1361 0.6361 0.5000  6 As 2.48-2.50, 1 Ni 2.53
Ni 0.6361 0.8639 0.5000  6 As 2.48-2.50, 1 Ni 2.53
Ni 0.3639 0.1361 0.5000  6 As 2.48-2.50, 1 Ni 2.53
As 0.1577 0.3423 0.0000  2 Ru 2.48, 6 Ni 2.48-2.50
As 0.6577 0.1577 0.0000  2 Ru 2.48, 6 Ni 2.48-2.50
As 0.3423 0.8423 0.0000  2 Ru 2.48, 6 Ni 2.48-2.50
As 0.8423 0.6577 0.0000  2 Ru 2.48, 6 Ni 2.48-2.50

Values from the calculation:
E, eV/atom: -6.10
Spin magnetization, μB per formula unit: 0.00
Space group: P4/mbm (127)
E_form, eV/atom: -0.074



[6]
A plane-wave DFT calculation with PBE-GGA was carried out for crystalline Ni2AsRu at its relaxed geometry.

Cell lengths 3.7386, 2.8314, 5.0697 Å; angles 73.77, 90.00, 90.00 degrees
With the nearest neighbours (Å) after each atom.
Fractional coordinates of all 4 atoms:
Ru 0.0000 0.5470 0.5311  7 Ni 2.52-2.77, 4 As 2.53
As 0.5000 0.9477 0.7286  3 Ni 2.33-2.44, 4 Ru 2.53
Ni 0.5000 0.1993 0.2263  1 As 2.44, 4 Ni 2.56
Ni 0.0000 0.8060 0.0140  2 As 2.33, 1 Ru 2.52, 4 Ni 2.56

Values from the calculation:
E, eV/atom: -6.36
Spin magnetization, μB per formula unit: 0.06
Space group: Amm2 (38)
E_form, eV/atom: 0.013